DFT (PBE-GGA) results for a relaxed Ac5AlAg4 crystal.

Structure (POSCAR):
```
Ac5AlAg4
1.0
-3.6628 -1.1201 0.9985
1.2280 -3.7512 0.2969
4.3200 2.9287 19.1326
Ac Ag Al
5 4 1
direct
0.5000 0.5000 0.7002
0.5000 0.5000 0.2998
0.5000 0.5000 0.9014
0.5000 0.5000 0.0986
0.5000 0.5000 0.5000
0.0000 0.0000 0.4004
0.0000 0.0000 0.2006
0.0000 0.0000 0.5996
0.0000 0.0000 0.7994
0.0000 0.0000 0.0000
```

## Properties
Energy relative to the elements in kJ per mole of atoms: -25
DFT total energy in eV per atom: -3.83
DOS at the Fermi energy in states/eV/f.u.: 6.3